Record 1
{
  "formula": "Mn2SbC",
  "functional": "GGA-PBE",
  "state": "relaxed",
  "dos_ef_per_ev_cell": 0.4,
  "formation_energy_uncorrected_ev_per_atom": 0.35,
  "dft_energy_ev_per_atom": -7.5760,
  "sg": "No. 122",
  "lattice_angstrom": [[-4.115, -4.736, -0.907], [2.688, -1.262, -5.601], [0.935, -4.655, -2.090]],
  "species": ["Sb", "Sb", "C", "C", "Mn", "Mn", "Mn", "Mn"],
  "fractional_positions": [[0.000, 0.000, 0.000], [0.750, 0.250, 0.500], [0.500, 0.500, 0.000], [0.250, 0.750, 0.500], [0.511, 0.125, 0.250], [0.239, 0.625, 0.250], [0.375, 0.489, 0.750], [0.875, 0.761, 0.750]]
}

***

Record 2
{
  "formula": "Mn3SbC",
  "functional": "GGA-PBE",
  "state": "relaxed",
  "dos_ef_per_ev_cell": 6.6,
  "formation_energy_uncorrected_ev_per_atom": 2.19,
  "dft_energy_ev_per_atom": -5.9856,
  "sg": "No. 221",
  "lattice_angstrom": [[5.010, 0.000, 0.000], [0.000, 5.010, 0.000], [0.000, 0.000, 5.010]],
  "species": ["Sb", "C", "Mn", "Mn", "Mn"],
  "fractional_positions": [[0.000, 0.000, 0.000], [0.500, 0.500, 0.500], [0.000, 0.500, 0.000], [0.000, 0.000, 0.500], [0.500, 0.000, 0.000]]
}